SrHg2Os: relaxed, PBE.

Summary:
Final energy, eV per atom: -2.61
Relative energy among the computed polymorphs, meV/atom: 390.6

Cell: 3.2667 3.2667 29.5867 Å, 90.00 90.00 120.00°
Space group R-3m (No. 166, hexagonal axes)
One atom of each set of equivalent atoms:
Sr1 0.0000 0.0000 0.0000 [3 per cell]
Hg1 0.0000 0.0000 0.2415 [6 per cell]
Os1 0.0000 0.0000 0.5000 [3 per cell]



SrHg2Os: relaxed, PBE.

Summary:
Final energy, eV per atom: -2.90
Relative energy among the computed polymorphs, meV/atom: 100.0

Cell: 7.1313 7.1313 7.1313 Å, 90.00 90.00 90.00°
Space group Fm-3m (No. 225)
One atom of each set of equivalent atoms:
Sr1 0.0000 0.0000 0.0000 [4 per cell]
Hg1 0.2500 0.2500 0.2500 [8 per cell]
Os1 0.0000 0.0000 0.5000 [4 per cell]



SrHg2Os: relaxed, PBE.

Summary:
Final energy, eV per atom: -2.72
Relative energy among the computed polymorphs, meV/atom: 272.8

Cell: 6.2445 10.1951 3.2245 Å, 90.00 116.18 90.00°
Space group C2/m (No. 12)
One atom of each set of equivalent atoms:
Sr1 0.0000 0.0000 0.0000 [2 per cell]
Hg1 0.2500 0.2500 0.5000 [4 per cell]
Os1 0.0000 0.5000 0.0000 [2 per cell]



SrHg2Os: relaxed, PBE.

Summary:
Final energy, eV per atom: -3.00
Relative energy among the computed polymorphs, meV/atom: 0.0

Cell: 3.2342 4.5552 13.8399 Å, 90.00 90.00 90.00°
Space group Imm2 (No. 44)
One atom of each set of equivalent atoms:
Sr1 0.0000 0.0000 0.0000 [2 per cell]
Hg1 0.0000 0.0000 0.6440 [2 per cell]
Hg2 0.0000 0.5000 0.8150 [2 per cell]
Os1 0.0000 0.5000 0.3125 [2 per cell]



SrHg2Os: relaxed, PBE.

Summary:
Final energy, eV per atom: -2.71
Relative energy among the computed polymorphs, meV/atom: 282.3

Cell: 6.2882 8.7719 3.2131 Å, 90.00 90.00 90.00°
Space group Cmmm (No. 65)
One atom of each set of equivalent atoms:
Sr1 0.0000 0.0000 0.0000 [2 per cell]
Hg1 0.2500 0.2500 0.5000 [4 per cell]
Os1 0.0000 0.5000 0.0000 [2 per cell]



SrHg4Os: relaxed, PBE.

Summary:
Final energy, eV per atom: -1.84

Cell: 8.2576 8.2576 8.2576 Å, 90.00 90.00 90.00°
Space group F-43m (No. 216)
One atom of each set of equivalent atoms:
Sr1 0.0000 0.0000 0.0000 [4 per cell]
Hg1 0.1242 0.1242 0.6242 [16 per cell]
Os1 0.2500 0.2500 0.2500 [4 per cell]



SrHgOs3: relaxed, PBE.

Summary:
Final energy, eV per atom: -3.62
Relative energy among the computed polymorphs, meV/atom: 1068.1

Cell: 4.9794 4.9794 4.9794 Å, 90.00 90.00 90.00°
Space group Pm-3m (No. 221)
One atom of each set of equivalent atoms:
Sr1 0.0000 0.0000 0.0000 [1 per cell]
Hg1 0.5000 0.5000 0.5000 [1 per cell]
Os1 0.0000 0.0000 0.5000 [3 per cell]



SrHg2Os: relaxed, PBE.

Summary:
Final energy, eV per atom: -2.80
Relative energy among the computed polymorphs, meV/atom: 195.7

Cell: 4.3873 4.3873 9.4330 Å, 90.00 90.00 90.00°
Space group I-4m2 (No. 119)
One atom of each set of equivalent atoms:
Sr1 0.0000 0.0000 0.0000 [2 per cell]
Hg1 0.0000 0.0000 0.5000 [2 per cell]
Hg2 0.0000 0.5000 0.7500 [2 per cell]
Os1 0.0000 0.5000 0.2500 [2 per cell]



SrHg2Os: relaxed, PBE.

Summary:
Final energy, eV per atom: -2.72
Relative energy among the computed polymorphs, meV/atom: 278.5

Cell: 7.1648 7.1648 7.1648 Å, 90.00 90.00 90.00°
Space group F-43m (No. 216)
One atom of each set of equivalent atoms:
Sr1 0.0000 0.0000 0.0000 [4 per cell]
Hg1 0.0000 0.0000 0.5000 [4 per cell]
Hg2 0.2500 0.2500 0.2500 [4 per cell]
Os1 0.2500 0.2500 0.7500 [4 per cell]



SrHg2Os: relaxed, PBE.

Summary:
Final energy, eV per atom: -2.79
Relative energy among the computed polymorphs, meV/atom: 201.6

Cell: 4.9603 4.9603 18.6993 Å, 90.00 90.00 90.00°
Space group I-42d (No. 122)
One atom of each set of equivalent atoms:
Sr1 0.0000 0.0000 0.0000 [4 per cell]
Hg1 0.1340 0.2500 0.6250 [8 per cell]
Os1 0.0000 0.0000 0.5000 [4 per cell]



SrHgOs3: relaxed, PBE.

Summary:
Final energy, eV per atom: -4.69
Relative energy among the computed polymorphs, meV/atom: 0.0

Cell: 5.0408 5.0408 5.0408 Å, 90.00 90.00 90.00°
Space group Pm-3m (No. 221)
One atom of each set of equivalent atoms:
Sr1 0.0000 0.0000 0.0000 [1 per cell]
Hg1 0.5000 0.5000 0.5000 [1 per cell]
Os1 0.0000 0.5000 0.5000 [3 per cell]



Sr4HgOs: relaxed, PBE.

Summary:
Final energy, eV per atom: -1.94

Cell: 9.2040 9.2040 9.2040 Å, 90.00 90.00 90.00°
Space group F-43m (No. 216)
One atom of each set of equivalent atoms:
Sr1 0.1238 0.1238 0.3762 [16 per cell]
Hg1 0.0000 0.0000 0.0000 [4 per cell]
Os1 0.2500 0.2500 0.7500 [4 per cell]



SrHg2Os: relaxed, PBE.

Summary:
Final energy, eV per atom: -2.90
Relative energy among the computed polymorphs, meV/atom: 100.0

Cell: 4.7286 4.7286 8.0470 Å, 90.00 90.00 90.00°
Space group I4/mmm (No. 139)
One atom of each set of equivalent atoms:
Sr1 0.0000 0.0000 0.0000 [2 per cell]
Hg1 0.0000 0.5000 0.2500 [4 per cell]
Os1 0.0000 0.0000 0.5000 [2 per cell]



SrHg2Os: relaxed, PBE.

Summary:
Final energy, eV per atom: -2.91
Relative energy among the computed polymorphs, meV/atom: 84.2

Cell: 3.6537 3.6537 7.4116 Å, 90.00 90.00 90.00°
Space group P4mm (No. 99)
One atom of each set of equivalent atoms:
Sr1 0.0000 0.0000 0.0000 [1 per cell]
Hg1 0.0000 0.0000 0.5801 [1 per cell]
Hg2 0.5000 0.5000 0.3180 [1 per cell]
Os1 0.5000 0.5000 0.7086 [1 per cell]



Ta3HgOs: relaxed, PBE.

Summary:
Final energy, eV per atom: -6.73
Relative energy among the computed polymorphs, meV/atom: 1594.2

Cell: 4.8986 4.8986 4.8986 Å, 90.00 90.00 90.00°
Space group Pm-3m (No. 221)
One atom of each set of equivalent atoms:
Ta1 0.0000 0.0000 0.5000 [3 per cell]
Hg1 0.0000 0.0000 0.0000 [1 per cell]
Os1 0.5000 0.5000 0.5000 [1 per cell]



no.,DFT formation energy (eV per formula unit),total moment (μB per formula unit)
1,3.093,0.921
2,1.931,0.000
3,2.622,0.897
4,1.531,0.151
5,2.660,1.199
6,3.089,1.505
7,17.550,5.704
8,2.314,0.684
9,2.645,0.000
10,2.337,0.000
11,12.210,5.388
12,6.633,0.000
13,1.931,0.000
14,1.867,0.000
15,13.415,0.000